# 1
# HfInSb PBE-GGA optimized geometry
# Uncorrected energy = -5.83 eV/atom
# Formation energy (no corrections) = -223 meV/atom
# V = 143.4 Å³/cell
data_HfInSb
_symmetry_space_group_name_H-M 'P 4/n m m'
_symmetry_Int_Tables_number 129
_cell_length_a 4.0736
_cell_length_b 4.0736
_cell_length_c 8.6423
_cell_angle_alpha 90.00
_cell_angle_beta 90.00
_cell_angle_gamma 90.00
loop_
_symmetry_equiv_pos_as_xyz
'x,y,z'
'-x,-y,-z'
'-y+1/2,x,z'
'y+1/2,-x,-z'
'-x+1/2,-y+1/2,z'
'x+1/2,y+1/2,-z'
'y,-x+1/2,z'
'-y,x+1/2,-z'
'x+1/2,-y,-z'
'-x+1/2,y,z'
'-y,-x,-z'
'y,x,z'
'-x,y+1/2,-z'
'x,-y+1/2,z'
'y+1/2,x+1/2,-z'
'-y+1/2,-x+1/2,z'
loop_
_atom_site_label
_atom_site_type_symbol
_atom_site_fract_x
_atom_site_fract_y
_atom_site_fract_z
Hf1 Hf 0.2500 0.2500 0.2185
In1 In 0.2500 0.7500 0.5000
Sb1 Sb 0.2500 0.2500 0.8656

# 2
# Na2PrUTe4 PBE-GGA optimized geometry
# Uncorrected energy = -4.95 eV/atom
# Formation energy (no corrections) = -1039 meV/atom
# V = 267.2 Å³/cell
data_Na2PrUTe4
_symmetry_space_group_name_H-M 'P 1 2/m 1'
_symmetry_Int_Tables_number 10
_cell_length_a 7.8077
_cell_length_b 4.5123
_cell_length_c 8.0208
_cell_angle_alpha 90.00
_cell_angle_beta 109.01
_cell_angle_gamma 90.00
loop_
_symmetry_equiv_pos_as_xyz
'x,y,z'
'-x,-y,-z'
'-x,y,-z'
'x,-y,z'
loop_
_atom_site_label
_atom_site_type_symbol
_atom_site_fract_x
_atom_site_fract_y
_atom_site_fract_z
Na1 Na 0.0000 0.0000 0.0000
Na2 Na 0.5000 0.5000 0.0000
Pr1 Pr 0.0000 0.5000 0.5000
U1 U 0.5000 0.0000 0.5000
Te1 Te 0.2531 0.0000 0.7410
Te2 Te 0.2602 0.5000 0.2629

# 3
# Er3IrAu2 PBE-GGA optimized geometry
# Uncorrected energy = -5.74 eV/atom
# V = 130.1 Å³/cell
data_Er3IrAu2
_symmetry_space_group_name_H-M 'P 4/m m m'
_symmetry_Int_Tables_number 123
_symmetry_space_group_name_Hall '-P 4 2'
_cell_length_a 3.5161
_cell_length_b 3.5161
_cell_length_c 10.5207
_cell_angle_alpha 90.00
_cell_angle_beta 90.00
_cell_angle_gamma 90.00
loop_
_atom_site_label
_atom_site_type_symbol
_atom_site_fract_x
_atom_site_fract_y
_atom_site_fract_z
Er1 Er 0.0000 0.0000 0.0000
Er2 Er 0.0000 0.0000 0.3464
Ir1 Ir 0.5000 0.5000 0.5000
Au1 Au 0.5000 0.5000 0.1707

# 4
# MgNi2Sn2 PBE-GGA optimized geometry
# Polymorph energy (0 for the lowest one) = 321 meV per atom
# Uncorrected energy = -4.19 eV/atom
# V = 194.6 Å³/cell
data_MgNi2Sn2
_symmetry_space_group_name_H-M 'I 4/m m m'
_symmetry_Int_Tables_number 139
_symmetry_space_group_name_Hall '-I 4 2'
_cell_length_a 4.2557
_cell_length_b 4.2557
_cell_length_c 10.7457
_cell_angle_alpha 90.00
_cell_angle_beta 90.00
_cell_angle_gamma 90.00
loop_
_atom_site_label
_atom_site_type_symbol
_atom_site_fract_x
_atom_site_fract_y
_atom_site_fract_z
Mg1 Mg 0.0000 0.0000 0.0000
Ni1 Ni 0.0000 0.0000 0.3900
Sn1 Sn 0.0000 0.5000 0.2500

# 5
# AcNd2Ho5 PBE-GGA optimized geometry
# Polymorph energy (0 for the lowest one) = 0 meV per atom
# Uncorrected energy = -4.54 eV/atom
# V = 1068.1 Å³/cell
data_AcNd2Ho5
_symmetry_space_group_name_H-M 'P b a m'
_symmetry_Int_Tables_number 55
_cell_length_a 7.2231
_cell_length_b 20.3338
_cell_length_c 7.2724
_cell_angle_alpha 90.00
_cell_angle_beta 90.00
_cell_angle_gamma 90.00
loop_
_symmetry_equiv_pos_as_xyz
'x,y,z'
'-x,-y,-z'
'-x,-y,z'
'x,y,-z'
'x+1/2,-y+1/2,-z'
'-x+1/2,y+1/2,z'
'-x+1/2,y+1/2,-z'
'x+1/2,-y+1/2,z'
loop_
_atom_site_label
_atom_site_type_symbol
_atom_site_fract_x
_atom_site_fract_y
_atom_site_fract_z
Ac1 Ac 0.2457 0.1265 0.0000
Nd1 Nd 0.0000 0.5000 0.2539
Nd2 Nd 0.2458 0.1265 0.5000
Ho1 Ho 0.0000 0.0000 0.2543
Ho2 Ho 0.0037 0.7499 0.2546
Ho3 Ho 0.2472 0.3740 0.0000
Ho4 Ho 0.2489 0.3740 0.5000

# 6
# AlNiCl2 PBE-GGA optimized geometry
# Polymorph energy (0 for the lowest one) = 181 meV per atom
# Uncorrected energy = -3.69 eV/atom
# Formation energy (no corrections) = -391 meV/atom
# V = 174.5 Å³/cell
data_AlNiCl2
_symmetry_space_group_name_H-M 'C m m 2'
_symmetry_Int_Tables_number 35
_cell_length_a 3.1140
_cell_length_b 6.3674
_cell_length_c 8.8005
_cell_angle_alpha 90.00
_cell_angle_beta 90.00
_cell_angle_gamma 90.00
loop_
_symmetry_equiv_pos_as_xyz
'x,y,z'
'-x,-y,z'
'-x,y,z'
'x,-y,z'
'x+1/2,y+1/2,z'
'-x+1/2,-y+1/2,z'
'-x+1/2,y+1/2,z'
'x+1/2,-y+1/2,z'
loop_
_atom_site_label
_atom_site_type_symbol
_atom_site_fract_x
_atom_site_fract_y
_atom_site_fract_z
Al1 Al 0.0000 0.0000 0.0000
Ni1 Ni 0.0000 0.5000 0.7913
Cl1 Cl 0.0000 0.0000 0.6101
Cl2 Cl 0.0000 0.5000 0.2007

# 7
# SrNbN3 PBE-GGA optimized geometry
# Uncorrected energy = -5.08 eV/atom
# Formation energy (no corrections) = 2264 meV/atom
# V = 74.3 Å³/cell
data_SrNbN3
_symmetry_space_group_name_H-M 'P m -3 m'
_symmetry_Int_Tables_number 221
_symmetry_space_group_name_Hall '-P 4 2 3'
_cell_length_a 4.2044
_cell_length_b 4.2044
_cell_length_c 4.2044
_cell_angle_alpha 90.00
_cell_angle_beta 90.00
_cell_angle_gamma 90.00
loop_
_atom_site_label
_atom_site_type_symbol
_atom_site_fract_x
_atom_site_fract_y
_atom_site_fract_z
Sr1 Sr 0.0000 0.0000 0.0000
Nb1 Nb 0.5000 0.5000 0.5000
N1 N 0.0000 0.0000 0.5000

# 8
# Li2Zn2Tc PBE-GGA optimized geometry
# Polymorph energy (0 for the lowest one) = 171 meV per atom
# Uncorrected energy = -3.08 eV/atom
# V = 144.7 Å³/cell
data_Li2Zn2Tc
_symmetry_space_group_name_H-M 'I 4/m m m'
_symmetry_Int_Tables_number 139
_symmetry_space_group_name_Hall '-I 4 2'
_cell_length_a 3.4620
_cell_length_b 3.4620
_cell_length_c 12.0746
_cell_angle_alpha 90.00
_cell_angle_beta 90.00
_cell_angle_gamma 90.00
loop_
_atom_site_label
_atom_site_type_symbol
_atom_site_fract_x
_atom_site_fract_y
_atom_site_fract_z
Li1 Li 0.0000 0.5000 0.2500
Zn1 Zn 0.0000 0.0000 0.0968
Tc1 Tc 0.0000 0.0000 0.5000

# 9
# Na2TcF7 PBE-GGA optimized geometry
# Uncorrected energy = -4.98 eV/atom
# Formation energy (no corrections) = -2369 meV/atom
# V = 550.9 Å³/cell
data_Na2TcF7
_symmetry_space_group_name_H-M 'C 1 2/c 1'
_symmetry_Int_Tables_number 15
_cell_length_a 12.6689
_cell_length_b 6.2517
_cell_length_c 8.8493
_cell_angle_alpha 90.00
_cell_angle_beta 128.19
_cell_angle_gamma 90.00
loop_
_symmetry_equiv_pos_as_xyz
'x,y,z'
'-x,-y,-z'
'-x,y,-z+1/2'
'x,-y,z+1/2'
'x+1/2,y+1/2,z'
'-x+1/2,-y+1/2,-z'
'-x+1/2,y+1/2,-z+1/2'
'x+1/2,-y+1/2,z+1/2'
loop_
_atom_site_label
_atom_site_type_symbol
_atom_site_fract_x
_atom_site_fract_y
_atom_site_fract_z
Na1 Na 0.1930 0.0825 0.2891
Tc1 Tc 0.0000 0.3678 0.7500
F1 F 0.0000 0.0532 0.7500
F2 F 0.0901 0.3239 0.0230
F3 F 0.1195 0.3804 0.3707
F4 F 0.1586 0.2936 0.7692

# 10
# Ca2CeAgS4 PBE-GGA optimized geometry
# Uncorrected energy = -5.31 eV/atom
# Formation energy (no corrections) = -1649 meV/atom
# V = 185.6 Å³/cell
data_Ca2CeAgS4
_symmetry_space_group_name_H-M 'P 1 2/m 1'
_symmetry_Int_Tables_number 10
_cell_length_a 6.8666
_cell_length_b 4.0766
_cell_length_c 7.0316
_cell_angle_alpha 90.00
_cell_angle_beta 109.45
_cell_angle_gamma 90.00
loop_
_symmetry_equiv_pos_as_xyz
'x,y,z'
'-x,-y,-z'
'-x,y,-z'
'x,-y,z'
loop_
_atom_site_label
_atom_site_type_symbol
_atom_site_fract_x
_atom_site_fract_y
_atom_site_fract_z
Ca1 Ca 0.0000 0.0000 0.0000
Ca2 Ca 0.5000 0.5000 0.0000
Ce1 Ce 0.0000 0.5000 0.5000
Ag1 Ag 0.5000 0.0000 0.5000
S1 S 0.2455 0.5000 0.2495
S2 S 0.2470 0.0000 0.7531

# 11
# NaTi2PCl PBE-GGA optimized geometry
# Uncorrected energy = -3.67 eV/atom
# Formation energy (no corrections) = 1200 meV/atom
# V = 123.0 Å³/cell
data_NaTi2PCl
_symmetry_space_group_name_H-M 'P 4/m m m'
_symmetry_Int_Tables_number 123
_symmetry_space_group_name_Hall '-P 4 2'
_cell_length_a 5.2155
_cell_length_b 5.2155
_cell_length_c 4.5233
_cell_angle_alpha 90.00
_cell_angle_beta 90.00
_cell_angle_gamma 90.00
loop_
_atom_site_label
_atom_site_type_symbol
_atom_site_fract_x
_atom_site_fract_y
_atom_site_fract_z
Na1 Na 0.0000 0.0000 0.0000
Ti1 Ti 0.0000 0.5000 0.0000
P1 P 0.0000 0.0000 0.5000
Cl1 Cl 0.5000 0.5000 0.5000

# 12
# CoRe2Br PBE-GGA optimized geometry
# Polymorph energy (0 for the lowest one) = 329 meV per atom
# Uncorrected energy = -7.55 eV/atom
# Formation energy (no corrections) = 868 meV/atom
# V = 164.0 Å³/cell
data_CoRe2Br
_symmetry_space_group_name_H-M 'C 1 2/m 1'
_symmetry_Int_Tables_number 12
_cell_length_a 8.2646
_cell_length_b 3.1831
_cell_length_c 7.4391
_cell_angle_alpha 90.00
_cell_angle_beta 123.07
_cell_angle_gamma 90.00
loop_
_symmetry_equiv_pos_as_xyz
'x,y,z'
'-x,-y,-z'
'-x,y,-z'
'x,-y,z'
'x+1/2,y+1/2,z'
'-x+1/2,-y+1/2,-z'
'-x+1/2,y+1/2,-z'
'x+1/2,-y+1/2,z'
loop_
_atom_site_label
_atom_site_type_symbol
_atom_site_fract_x
_atom_site_fract_y
_atom_site_fract_z
Co1 Co 0.0000 0.0000 0.0000
Re1 Re 0.1324 0.5000 0.8709
Br1 Br 0.0000 0.0000 0.5000

# 13
# CdFePb2 PBE-GGA optimized geometry
# Uncorrected energy = -3.71 eV/atom
# V = 191.9 Å³/cell
data_CdFePb2
_symmetry_space_group_name_H-M 'I 4/m m m'
_symmetry_Int_Tables_number 139
_symmetry_space_group_name_Hall '-I 4 2'
_cell_length_a 4.6874
_cell_length_b 4.6874
_cell_length_c 8.7330
_cell_angle_alpha 90.00
_cell_angle_beta 90.00
_cell_angle_gamma 90.00
loop_
_atom_site_label
_atom_site_type_symbol
_atom_site_fract_x
_atom_site_fract_y
_atom_site_fract_z
Cd1 Cd 0.0000 0.0000 0.0000
Fe1 Fe 0.0000 0.0000 0.5000
Pb1 Pb 0.0000 0.5000 0.2500

# 14
# ReSiB2F PBE-GGA optimized geometry
# Uncorrected energy = -5.12 eV/atom
# Formation energy (no corrections) = 1502 meV/atom
# V = 67.7 Å³/cell
data_ReSiB2F
_symmetry_space_group_name_H-M 'P 4/m m m'
_symmetry_Int_Tables_number 123
_symmetry_space_group_name_Hall '-P 4 2'
_cell_length_a 3.8162
_cell_length_b 3.8162
_cell_length_c 4.6494
_cell_angle_alpha 90.00
_cell_angle_beta 90.00
_cell_angle_gamma 90.00
loop_
_atom_site_label
_atom_site_type_symbol
_atom_site_fract_x
_atom_site_fract_y
_atom_site_fract_z
Re1 Re 0.0000 0.0000 0.0000
Si1 Si 0.0000 0.0000 0.5000
B1 B 0.0000 0.5000 0.5000
F1 F 0.5000 0.5000 0.0000

# 15
# Sr2Tl5Cd3 PBE-GGA optimized geometry
# Polymorph energy (0 for the lowest one) = 0 meV per atom
# Uncorrected energy = -2.00 eV/atom
# V = 1199.0 Å³/cell
data_Sr2Tl5Cd3
_symmetry_space_group_name_H-M 'C m c 21'
_symmetry_Int_Tables_number 36
_cell_length_a 5.0800
_cell_length_b 29.2169
_cell_length_c 8.0784
_cell_angle_alpha 90.00
_cell_angle_beta 90.00
_cell_angle_gamma 90.00
loop_
_symmetry_equiv_pos_as_xyz
'x,y,z'
'-x,-y,z+1/2'
'-x,y,z'
'x,-y,z+1/2'
'x+1/2,y+1/2,z'
'-x+1/2,-y+1/2,z+1/2'
'-x+1/2,y+1/2,z'
'x+1/2,-y+1/2,z+1/2'
loop_
_atom_site_label
_atom_site_type_symbol
_atom_site_fract_x
_atom_site_fract_y
_atom_site_fract_z
Sr1 Sr 0.0000 0.0168 0.0000
Sr2 Sr 0.0000 0.3254 0.0044
Tl1 Tl 0.0000 0.1012 0.6737
Tl2 Tl 0.0000 0.2031 0.8108
Tl3 Tl 0.0000 0.2073 0.2189
Tl4 Tl 0.0000 0.3773 0.4944
Tl5 Tl 0.0000 0.4493 0.8138
Cd1 Cd 0.0000 0.1062 0.2913
Cd2 Cd 0.0000 0.2724 0.5200
Cd3 Cd 0.0000 0.4517 0.2011